A plane-wave DFT calculation with PBE with a Hubbard U was carried out for a relaxed structure of SmNi2AsO6.

Computed properties:
Theoretical density, g cm⁻³: 6.42
Total moment, μB/atom: 0.4000
Uncorrected energy, eV/atom: -6.131

CIF file:
```
data_SmNi2AsO6
_chemical_formula_sum 'Sm3 Ni6 As3 O18'
_symmetry_space_group_name_H-M 'R 3'
_symmetry_Int_Tables_number 146
_symmetry_space_group_name_Hall 'R 3'
_cell_length_a 5.2546
_cell_length_b 5.2546
_cell_length_c 14.2303
_cell_angle_alpha 90.00
_cell_angle_beta 90.00
_cell_angle_gamma 120.00
loop_
_atom_site_label
_atom_site_type_symbol
_atom_site_fract_x
_atom_site_fract_y
_atom_site_fract_z
Sm1 Sm 0.0000 0.0000 0.0000
Ni1 Ni 0.0000 0.0000 0.2792
Ni2 Ni 0.0000 0.0000 0.7906
As1 As 0.0000 0.0000 0.4802
O1 O 0.0133 0.3166 0.5451
O2 O 0.0374 0.7460 0.3930
```


A plane-wave DFT calculation with PBE with a Hubbard U was carried out for a relaxed structure of NiSnAs2O8.

Computed properties:
Theoretical density, g cm⁻³: 4.80
Total moment, μB/atom: 0.1674
Uncorrected energy, eV/atom: -5.719

CIF file:
```
data_NiSnAs2O8
_chemical_formula_sum 'Ni1 Sn1 As2 O8'
_symmetry_space_group_name_H-M 'P -3 m 1'
_symmetry_Int_Tables_number 164
_symmetry_space_group_name_Hall '-P 3 2"'
_cell_length_a 5.5016
_cell_length_b 5.5016
_cell_length_c 6.0100
_cell_angle_alpha 90.00
_cell_angle_beta 90.00
_cell_angle_gamma 120.00
loop_
_atom_site_label
_atom_site_type_symbol
_atom_site_fract_x
_atom_site_fract_y
_atom_site_fract_z
Ni1 Ni 0.0000 0.0000 0.0000
Sn1 Sn 0.0000 0.0000 0.5000
As1 As 0.3333 0.6667 0.1736
O1 O 0.1587 0.3174 0.2645
O2 O 0.3333 0.6667 0.9000
```


A plane-wave DFT calculation with PBE with a Hubbard U was carried out for a relaxed structure of ThNiAs2O8.

Computed properties:
Theoretical density, g cm⁻³: 5.47
Total moment, μB/atom: 0.1638
Uncorrected energy, eV/atom: -6.600

CIF file:
```
data_ThNiAs2O8
_chemical_formula_sum 'Th1 Ni1 As2 O8'
_symmetry_space_group_name_H-M 'P -3 m 1'
_symmetry_Int_Tables_number 164
_symmetry_space_group_name_Hall '-P 3 2"'
_cell_length_a 5.6777
_cell_length_b 5.6777
_cell_length_c 6.1881
_cell_angle_alpha 90.00
_cell_angle_beta 90.00
_cell_angle_gamma 120.00
loop_
_atom_site_label
_atom_site_type_symbol
_atom_site_fract_x
_atom_site_fract_y
_atom_site_fract_z
Th1 Th 0.0000 0.0000 0.0000
Ni1 Ni 0.0000 0.0000 0.5000
As1 As 0.3333 0.6667 0.6327
O1 O 0.1674 0.3349 0.7395
O2 O 0.3333 0.6667 0.3670
```


A plane-wave DFT calculation with PBE with a Hubbard U was carried out for a relaxed structure of TiNiAsO6.

Computed properties:
Theoretical density, g cm⁻³: 4.88
Total moment, μB/atom: 0.3374
Uncorrected energy, eV/atom: -6.563

CIF file:
```
data_TiNiAsO6
_chemical_formula_sum 'Ti2 Ni2 As2 O12'
_symmetry_space_group_name_H-M 'P -3 1 c'
_symmetry_Int_Tables_number 163
_symmetry_space_group_name_Hall '-P 3 2c'
_cell_length_a 5.0090
_cell_length_b 5.0090
_cell_length_c 8.6910
_cell_angle_alpha 90.00
_cell_angle_beta 90.00
_cell_angle_gamma 120.00
loop_
_atom_site_label
_atom_site_type_symbol
_atom_site_fract_x
_atom_site_fract_y
_atom_site_fract_z
Ti1 Ti 0.3333 0.6667 0.2500
Ni1 Ni 0.0000 0.0000 0.0000
As1 As 0.3333 0.6667 0.7500
O1 O 0.0170 0.3606 0.6335
```


A plane-wave DFT calculation with PBE with a Hubbard U was carried out for a relaxed structure of TiNi2AsO6.

Computed properties:
Theoretical density, g cm⁻³: 4.26
Total moment, μB/atom: 0.4032
Uncorrected energy, eV/atom: -6.051

CIF file:
```
data_TiNi2AsO6
_chemical_formula_sum 'Ti1 Ni2 As1 O6'
_symmetry_space_group_name_H-M 'P 4 m m'
_symmetry_Int_Tables_number 99
_symmetry_space_group_name_Hall 'P 4 -2'
_cell_length_a 5.359
_cell_length_b 5.359
_cell_length_c 4.563
_cell_angle_alpha 90.00
_cell_angle_beta 90.00
_cell_angle_gamma 90.00
loop_
_atom_site_label
_atom_site_type_symbol
_atom_site_fract_x
_atom_site_fract_y
_atom_site_fract_z
Ti1 Ti 0.000 0.000 0.000
Ni1 Ni 0.000 0.500 0.306
As1 As 0.500 0.500 0.997
O1 O 0.000 0.000 0.628
O2 O 0.251 0.251 0.141
O3 O 0.500 0.500 0.623
```


A plane-wave DFT calculation with PBE with a Hubbard U was carried out for a relaxed structure of TlNiAs2O6.

Computed properties:
Theoretical density, g cm⁻³: 5.10
Total moment, μB/atom: 0.1971
Uncorrected energy, eV/atom: -5.394

CIF file:
```
data_TlNiAs2O6
_chemical_formula_sum 'Tl4 Ni4 As8 O24'
_symmetry_space_group_name_H-M 'C 1 2/c 1'
_symmetry_Int_Tables_number 15
_symmetry_space_group_name_Hall '-C 2yc'
_cell_length_a 10.633
_cell_length_b 10.409
_cell_length_c 6.446
_cell_angle_alpha 90.00
_cell_angle_beta 111.82
_cell_angle_gamma 90.00
loop_
_atom_site_label
_atom_site_type_symbol
_atom_site_fract_x
_atom_site_fract_y
_atom_site_fract_z
Tl1 Tl 0.000 0.123 0.250
Ni1 Ni 0.000 0.273 0.750
As1 As 0.211 0.422 0.140
O1 O 0.086 0.307 0.074
O2 O 0.132 0.143 0.711
O3 O 0.182 0.462 0.825
```


A plane-wave DFT calculation with PBE with a Hubbard U was carried out for a relaxed structure of Tl2NiAs2O6.

Computed properties:
Theoretical density, g cm⁻³: 5.88
Total moment, μB/atom: 0.1818
Uncorrected energy, eV/atom: -5.204

CIF file:
```
data_Tl2NiAs2O6
_chemical_formula_sum 'Tl4 Ni2 As4 O12'
_symmetry_space_group_name_H-M 'C 1 2/m 1'
_symmetry_Int_Tables_number 12
_symmetry_space_group_name_Hall '-C 2y'
_cell_length_a 12.444
_cell_length_b 5.493
_cell_length_c 6.282
_cell_angle_alpha 90.00
_cell_angle_beta 110.31
_cell_angle_gamma 90.00
loop_
_atom_site_label
_atom_site_type_symbol
_atom_site_fract_x
_atom_site_fract_y
_atom_site_fract_z
Tl1 Tl 0.234 0.000 0.216
Ni1 Ni 0.000 0.000 0.500
As1 As 0.020 0.500 0.209
O1 O 0.052 0.246 0.745
O2 O 0.165 0.500 0.344
```


A plane-wave DFT calculation with PBE with a Hubbard U was carried out for a relaxed structure of Tl3NiAs2O8.

Computed properties:
Theoretical density, g cm⁻³: 7.28
Total moment, μB/atom: 0.1410
Uncorrected energy, eV/atom: -5.159

CIF file:
```
data_Tl3NiAs2O8
_chemical_formula_sum 'Tl3 Ni1 As2 O8'
_symmetry_space_group_name_H-M 'P -3 m 1'
_symmetry_Int_Tables_number 164
_symmetry_space_group_name_Hall '-P 3 2"'
_cell_length_a 5.7306
_cell_length_b 5.7306
_cell_length_c 7.6121
_cell_angle_alpha 90.00
_cell_angle_beta 90.00
_cell_angle_gamma 120.00
loop_
_atom_site_label
_atom_site_type_symbol
_atom_site_fract_x
_atom_site_fract_y
_atom_site_fract_z
Tl1 Tl 0.0000 0.0000 0.0000
Tl2 Tl 0.3333 0.6667 0.7066
Ni1 Ni 0.0000 0.0000 0.5000
As1 As 0.3333 0.6667 0.2535
O1 O 0.1688 0.3376 0.3307
O2 O 0.3333 0.6667 0.0312
```


A plane-wave DFT calculation with PBE with a Hubbard U was carried out for a relaxed structure of TmNi2AsO6.

Computed properties:
Theoretical density, g cm⁻³: 6.96
Total moment, μB/atom: 0.4000
Uncorrected energy, eV/atom: -6.179

CIF file:
```
data_TmNi2AsO6
_chemical_formula_sum 'Tm3 Ni6 As3 O18'
_symmetry_space_group_name_H-M 'R 3'
_symmetry_Int_Tables_number 146
_symmetry_space_group_name_Hall 'R 3'
_cell_length_a 5.1817
_cell_length_b 5.1817
_cell_length_c 14.0750
_cell_angle_alpha 90.00
_cell_angle_beta 90.00
_cell_angle_gamma 120.00
loop_
_atom_site_label
_atom_site_type_symbol
_atom_site_fract_x
_atom_site_fract_y
_atom_site_fract_z
Tm1 Tm 0.0000 0.0000 0.0000
Ni1 Ni 0.0000 0.0000 0.2875
Ni2 Ni 0.0000 0.0000 0.7954
As1 As 0.0000 0.0000 0.4883
O1 O 0.0121 0.3684 0.2217
O2 O 0.0124 0.7260 0.4011
```


A plane-wave DFT calculation with PBE with a Hubbard U was carried out for a relaxed structure of TmNiAs2O8.

Computed properties:
Theoretical density, g cm⁻³: 5.18
Total moment, μB/atom: 0.2530
Uncorrected energy, eV/atom: -6.172

CIF file:
```
data_TmNiAs2O8
_chemical_formula_sum 'Tm1 Ni1 As2 O8'
_symmetry_space_group_name_H-M 'P -3 m 1'
_symmetry_Int_Tables_number 164
_symmetry_space_group_name_Hall '-P 3 2"'
_cell_length_a 5.6117
_cell_length_b 5.6117
_cell_length_c 5.9448
_cell_angle_alpha 90.00
_cell_angle_beta 90.00
_cell_angle_gamma 120.00
loop_
_atom_site_label
_atom_site_type_symbol
_atom_site_fract_x
_atom_site_fract_y
_atom_site_fract_z
Tm1 Tm 0.0000 0.0000 0.0000
Ni1 Ni 0.0000 0.0000 0.5000
As1 As 0.3333 0.6667 0.6470
O1 O 0.1647 0.3294 0.7419
O2 O 0.3333 0.6667 0.3622
```


A plane-wave DFT calculation with PBE with a Hubbard U was carried out for a relaxed structure of ZnNiAsO5.

Computed properties:
Theoretical density, g cm⁻³: 4.68
Total moment, μB/atom: 0.1222
Uncorrected energy, eV/atom: -5.250

CIF file:
```
data_ZnNiAsO5
_chemical_formula_sum 'Zn4 Ni4 As4 O20'
_symmetry_space_group_name_H-M 'P 21 21 21'
_symmetry_Int_Tables_number 19
_symmetry_space_group_name_Hall 'P 2ac 2ab'
_cell_length_a 6.067
_cell_length_b 7.953
_cell_length_c 8.211
_cell_angle_alpha 90.00
_cell_angle_beta 90.00
_cell_angle_gamma 90.00
loop_
_atom_site_label
_atom_site_type_symbol
_atom_site_fract_x
_atom_site_fract_y
_atom_site_fract_z
Zn1 Zn 0.000 0.239 0.190
Ni1 Ni 0.250 0.250 0.500
As1 As 0.000 0.406 0.823
O1 O 0.000 0.104 0.592
O2 O 0.000 0.356 0.404
O3 O 0.003 0.246 0.961
O4 O 0.238 0.392 0.705
O5 O 0.238 0.891 0.794
```


A plane-wave DFT calculation with PBE with a Hubbard U was carried out for a relaxed structure of ZnNi2AsO6.

Computed properties:
Theoretical density, g cm⁻³: 5.84
Total moment, μB/atom: 0.3000
Uncorrected energy, eV/atom: -5.193

CIF file:
```
data_ZnNi2AsO6
_chemical_formula_sum 'Zn1 Ni2 As1 O6'
_symmetry_space_group_name_H-M 'P 1'
_symmetry_Int_Tables_number 1
_symmetry_space_group_name_Hall 'P 1'
_cell_length_a 4.970
_cell_length_b 5.014
_cell_length_c 5.378
_cell_angle_alpha 116.97
_cell_angle_beta 90.10
_cell_angle_gamma 118.64
loop_
_atom_site_label
_atom_site_type_symbol
_atom_site_fract_x
_atom_site_fract_y
_atom_site_fract_z
Zn1 Zn 0.000 0.000 0.000
Ni1 Ni 0.213 0.429 0.634
Ni2 Ni 0.726 0.459 0.177
As1 As 0.527 0.051 0.574
O1 O 0.157 0.598 0.386
O2 O 0.330 0.254 0.840
O3 O 0.422 0.227 0.376
O4 O 0.602 0.946 0.848
O5 O 0.783 0.944 0.366
O6 O 0.913 0.512 0.835
```